(1)
Material: BeIrPt3
Method: DFT, PBEsol
State: optimized geometry

Structure (POSCAR):
```
BeIrPt3
1.0
4.758 0.000 0.000
0.000 4.758 0.000
0.000 0.000 4.758
Pt Be Ir
3 1 1
direct
0.000 0.500 0.000 Pt
0.500 0.000 0.000 Pt
0.000 0.000 0.500 Pt
0.500 0.500 0.500 Be
0.000 0.000 0.000 Ir
```

DFT total energy in eV/atom: -5.142
Crystal system: cubic

(2)
Material: BeIr2Pt
Method: DFT, PBEsol
State: optimized geometry

Structure (POSCAR):
```
BeIr2Pt
1.0
2.675 -0.004 0.000
-1.306 2.334 0.000
0.000 0.000 8.513
Ir Pt Be
2 1 1
direct
0.000 0.000 0.217 Ir
0.000 0.000 0.783 Ir
0.500 0.500 0.500 Pt
0.500 0.500 0.000 Be
```

DFT total energy in eV/atom: -7.641
Crystal system: orthorhombic

(3)
Material: BeIrPt4
Method: DFT, PBEsol
State: optimized geometry

Structure (POSCAR):
```
BeIrPt4
1.0
5.108 0.000 0.000
2.554 4.423 0.000
2.554 1.474 4.170
Pt Ir Be
4 1 1
direct
0.625 0.625 0.124 Pt
0.625 0.625 0.625 Pt
0.625 0.124 0.625 Pt
0.124 0.625 0.625 Pt
0.000 0.000 0.000 Ir
0.250 0.250 0.250 Be
```

DFT total energy in eV/atom: -6.376
Crystal system: cubic

(4)
Material: BeIr2Pt
Method: DFT, PBEsol
State: optimized geometry

Structure (POSCAR):
```
BeIr2Pt
1.0
-1.248 -4.053 -0.249
1.906 -2.646 -2.723
2.522 -3.092 1.457
Be Ir Pt
1 2 1
direct
0.500 0.500 0.500 Be
0.000 0.000 0.000 Ir
0.750 0.750 0.750 Ir
0.250 0.250 0.250 Pt
```

DFT total energy in eV/atom: -7.430
Crystal system: cubic

(5)
Material: Be2Ir2Pt
Method: DFT, PBEsol
State: optimized geometry

Structure (POSCAR):
```
Be2Ir2Pt
1.0
2.782 0.000 0.000
0.000 6.480 0.000
0.000 0.000 6.480
Be Ir Pt
4 4 2
direct
0.000 0.126 0.374 Be
0.000 0.626 0.126 Be
0.000 0.374 0.874 Be
0.000 0.874 0.626 Be
0.500 0.832 0.332 Ir
0.500 0.332 0.168 Ir
0.500 0.168 0.668 Ir
0.500 0.668 0.832 Ir
0.000 0.000 0.000 Pt
0.000 0.500 0.500 Pt
```

DFT total energy in eV/atom: -7.231
Crystal system: tetragonal

(6)
Material: BeIr2PtW
Method: DFT, PBEsol
State: optimized geometry

Structure (POSCAR):
```
BeIr2PtW
1.0
-1.286 -2.090 3.978
-2.511 -3.097 -2.439
3.808 -2.870 -0.276
Ir Be W Pt
2 1 1 1
direct
0.000 0.500 0.000 Ir
0.500 0.000 0.000 Ir
0.500 0.500 0.500 Be
0.000 0.000 0.000 W
0.000 0.000 0.500 Pt
```

DFT total energy in eV/atom: -6.931
Crystal system: tetragonal

- Which value of DFT total energy does entry 5 give?
  -7.231 eV/atom